Record 1
Here is a relaxed GdHoHgAu crystal from Alexandria via LeMat-Bulk. Energies are from PBE.

a = 5.188 Å, b = 5.188 Å, c = 5.188 Å
α = 60.00°, β = 60.00°, γ = 60.00°
Last column: magnetic moment on the atom in μB.
Fractional positions:
1 Hg 0.000 0.000 0.000  0.00
2 Ho 0.250 0.250 0.250  -0.02
3 Au 0.500 0.500 0.500  0.00
4 Gd 0.750 0.750 0.750  -7.03

Values from the calculation:
density of states at the Fermi level	2.87	states/eV/f.u.
E_form	-0.657	eV per atom
E	-6.217	eV per atom

=====

Record 2
Here is a relaxed CuAgAs2 crystal from Alexandria via LeMat-Bulk. Energies are from PBE.

a = 4.627 Å, b = 4.627 Å, c = 4.627 Å
α = 60.00°, β = 60.00°, γ = 60.00°
Fractional positions:
1 Cu 0.000 0.000 0.000
2 Ag 0.500 0.500 0.500
3 As 0.250 0.250 0.250
4 As 0.750 0.750 0.750

Values from the calculation:
density of states at the Fermi level	2.49	states/eV/f.u.
polymorph energy (0 for the lowest one)	16.1	kJ per mole of atoms
E_form	0.325	eV per atom
E	-3.736	eV per atom

=====

Record 3
Here is a relaxed BaAlBi3 crystal from Alexandria via LeMat-Bulk. Energies are from PBE.

a = 6.815 Å, b = 7.202 Å, c = 7.067 Å
α = 89.96°, β = 90.02°, γ = 90.00°
Fractional positions:
1 Bi 0.972 0.485 0.447
2 Ba 0.454 0.382 0.701
3 Al 0.630 0.570 0.201
4 Bi 0.472 0.868 0.454
5 Ba 0.954 0.971 0.200
6 Bi 0.972 0.485 0.955
7 Bi 0.472 0.868 0.947
8 Al 0.130 0.783 0.701
9 Bi 0.851 0.071 0.700
10 Bi 0.351 0.282 0.201

Values from the calculation:
density of states at the Fermi level	2.62	states/eV/f.u.
polymorph energy (0 for the lowest one)	0.0	kJ per mole of atoms
E_form	-0.273	eV per atom
E	-3.734	eV per atom

=====

Record 4
Here is a relaxed HgBSb2I crystal from Alexandria via LeMat-Bulk. Energies are from PBE.

a = 5.536 Å, b = 5.536 Å, c = 6.217 Å
α = 90.00°, β = 90.00°, γ = 90.00°
Last column: magnetic moment on the atom in μB.
Fractional positions:
1 Sb 0.000 0.500 0.000  0.17
2 I 0.000 0.000 0.500  0.08
3 Sb 0.500 0.000 0.000  0.17
4 Hg 0.000 0.000 0.000  0.01
5 B 0.500 0.500 0.500  -0.05

Values from the calculation:
density of states at the Fermi level	4.84	states/eV/f.u.
E_form (uncorrected)	1.58	eV per atom
polymorph energy (0 for the lowest one)	79.4	kJ per mole of atoms
E	-1.773	eV per atom

=====

Record 5
Here is a relaxed Ca4Ac5Tl4 crystal from Alexandria via LeMat-Bulk. Energies are from PBE.

a = 5.316 Å, b = 9.898 Å, c = 9.898 Å
α = 85.86°, β = 74.42°, γ = 74.42°
Fractional positions:
1 Ac 0.000 0.000 0.000
2 Ac 0.308 0.076 0.308
3 Tl 0.918 0.834 0.329
4 Tl 0.248 0.671 0.834
5 Ac 0.384 0.308 0.924
6 Ca 0.599 0.293 0.509
7 Ca 0.892 0.509 0.707
8 Tl 0.752 0.329 0.166
9 Ac 0.692 0.924 0.692
10 Ca 0.108 0.491 0.293
11 Ca 0.401 0.707 0.491
12 Tl 0.082 0.166 0.671
13 Ac 0.616 0.692 0.076

Values from the calculation:
density of states at the Fermi level	11.16	states/eV/f.u.
E_form	-0.273	eV per atom
E	-3.197	eV per atom

=====

Record 6
Here is a relaxed CaTlZn2 crystal from Alexandria via LeMat-Bulk. Energies are from PBE.

a = 5.011 Å, b = 5.011 Å, c = 5.011 Å
α = 60.00°, β = 60.00°, γ = 60.00°
Fractional positions:
1 Zn 0.000 0.000 0.000
2 Tl 0.750 0.750 0.750
3 Ca 0.500 0.500 0.500
4 Zn 0.250 0.250 0.250

Values from the calculation:
density of states at the Fermi level	2.21	states/eV/f.u.
E_form	-0.097	eV per atom
E	-1.826	eV per atom